First-principles (GGA-PBE) data for a geometry-optimized BaPtC structure, as listed in Alexandria via LeMat-Bulk.

Structure (POSCAR):
```
BaPtC
1.0
3.8752 0.0000 0.0000
0.0000 12.5073 0.0000
0.0000 0.0000 6.0067
Ba Pt C
4 4 4
Direct
0.0000 0.1252 0.2500 Ba
0.0000 0.8748 0.7500 Ba
0.5000 0.3748 0.7500 Ba
0.5000 0.6252 0.2500 Ba
0.0000 0.3885 0.2500 Pt
0.0000 0.6115 0.7500 Pt
0.5000 0.1115 0.7500 Pt
0.5000 0.8885 0.2500 Pt
0.0000 0.1151 0.7500 C
0.0000 0.8849 0.2500 C
0.5000 0.3849 0.2500 C
0.5000 0.6151 0.7500 C
```

## Properties
* energy relative to the elements: -0.146 eV/atom
* SG: Cmcm, No. 63
* uncorrected energy: -5.875 eV per atom